## A
! PrErCuRh PBE optimized geometry; values from VASP
&SYSTEM
  ibrav = 0, nat = 4, ntyp = 4
/
ATOMIC_SPECIES
Cu 63.55 Cu.upf
Pr 140.91 Pr.upf
Rh 102.91 Rh.upf
Er 167.26 Er.upf
ATOMIC_POSITIONS angstrom
Cu 2.4832 1.4337 1.0138
Pr 0.0000 0.0000 0.0000
Rh 7.4496 4.3010 3.0413
Er 4.9664 2.8673 2.0275
CELL_PARAMETERS angstrom
4.9664 0.0000 0.0000
2.4832 4.3010 0.0000
2.4832 1.4337 4.0550
! **Calculated density**: 9099 kg/m3

## B
! PrErCuRh PBE optimized geometry; values from VASP
&SYSTEM
  ibrav = 0, nat = 4, ntyp = 4
/
ATOMIC_SPECIES
Cu 63.55 Cu.upf
Pr 140.91 Pr.upf
Er 167.26 Er.upf
Rh 102.91 Rh.upf
ATOMIC_POSITIONS angstrom
Cu -2.2761 -0.0772 -1.9927
Pr -0.7300 -1.3000 0.3032
Er -3.7687 -2.7353 -1.3728
Rh -2.1194 -3.7743 0.8803
CELL_PARAMETERS angstrom
-3.3514 1.8910 0.0388
-0.4705 -0.7451 -4.3275
-0.8604 -5.4619 1.0340
! **Calculated density**: 8773 kg/m3

Stability, highest: B

## A
! PrErZnCu PBE optimized geometry; values from VASP
&SYSTEM
  ibrav = 0, nat = 4, ntyp = 4
/
ATOMIC_SPECIES
Pr 140.91 Pr.upf
Zn 65.41 Zn.upf
Er 167.26 Er.upf
Cu 63.55 Cu.upf
ATOMIC_POSITIONS angstrom
Pr 0.0000 0.0000 6.1977
Zn 1.7804 1.7804 4.1958
Er 0.0000 0.0000 2.5024
Cu 1.7804 1.7804 1.0117
CELL_PARAMETERS angstrom
3.5607 0.0000 0.0000
0.0000 3.5607 0.0000
0.0000 0.0000 7.2136
! **Calculated density**: 7936 kg/m3

## B
! PrErZnCu PBE optimized geometry; values from VASP
&SYSTEM
  ibrav = 0, nat = 4, ntyp = 4
/
ATOMIC_SPECIES
Er 167.26 Er.upf
Cu 63.55 Cu.upf
Pr 140.91 Pr.upf
Zn 65.41 Zn.upf
ATOMIC_POSITIONS angstrom
Er 7.6006 4.3882 3.1029
Cu 0.0000 0.0000 0.0000
Pr 2.5335 1.4627 1.0343
Zn 5.0671 2.9255 2.0686
CELL_PARAMETERS angstrom
5.0671 0.0000 0.0000
2.5335 4.3882 0.0000
2.5335 1.4627 4.1372
! **Calculated density**: 7890 kg/m3

Stability, highest: A

## A
! Er8Cu2Pt PBE optimized geometry; values from VASP
&SYSTEM
  ibrav = 0, nat = 11, ntyp = 3
/
ATOMIC_SPECIES
Er 167.26 Er.upf
Cu 63.55 Cu.upf
Pt 195.08 Pt.upf
ATOMIC_POSITIONS angstrom
Er -2.3049 -2.7827 -0.5224
Er -1.5982 -0.7840 2.2283
Er 0.4310 -3.4148 1.2175
Er -5.3273 -4.3823 -0.4564
Er -2.0358 -1.9212 5.6355
Er -4.7686 -1.2898 3.8976
Er -2.7552 -4.0293 2.8687
Er 0.9905 -5.8419 3.5614
Cu -0.0799 -2.9180 3.9022
Cu -4.2997 -1.9431 1.2186
Pt -0.0163 -0.8351 -0.2778
CELL_PARAMETERS angstrom
0.0119 -5.4398 -1.9950
3.2152 -0.9961 6.9244
-7.5529 1.4917 0.0765
! **Calculated density**: 9469 kg/m3

## B
! Er8Cu2Pt PBE optimized geometry; values from VASP
&SYSTEM
  ibrav = 0, nat = 11, ntyp = 3
/
ATOMIC_SPECIES
Er 167.26 Er.upf
Cu 63.55 Cu.upf
Pt 195.08 Pt.upf
ATOMIC_POSITIONS angstrom
Er -3.6456 -3.4835 0.5693
Er 0.8567 -2.9738 1.8550
Er -3.6818 -4.2272 3.9121
Er -1.8915 -1.4286 3.0620
Er 4.1082 -2.7322 2.8499
Er 4.0719 -3.4759 6.1926
Er -0.4303 -3.9856 4.9070
Er 2.3179 -5.5308 3.6999
Cu 1.8414 -2.4845 4.9034
Cu -1.4151 -4.4749 1.8586
Pt -0.7337 1.1155 2.1272
CELL_PARAMETERS angstrom
-1.4675 2.2311 4.2544
-5.1811 -4.1035 0.3648
7.0749 -5.0870 2.1428
! **Calculated density**: 9976 kg/m3

Stability, highest: B

## A
! Er4Cu2Pt PBE optimized geometry; values from VASP
&SYSTEM
  ibrav = 0, nat = 14, ntyp = 3
/
ATOMIC_SPECIES
Pt 195.08 Pt.upf
Er 167.26 Er.upf
Cu 63.55 Cu.upf
ATOMIC_POSITIONS angstrom
Pt 0.3627 0.1700 0.0724
Pt -0.7641 3.4305 3.2808
Er 3.8398 2.0189 3.7185
Er 2.5114 -0.5972 1.6451
Er 2.7722 -2.8270 4.3908
Er 5.8729 -0.1136 1.9558
Er -0.5957 -1.8157 4.3678
Er 5.8081 4.1040 0.9276
Er 1.2402 2.7548 1.4628
Er -0.1548 1.6209 5.2875
Cu 4.5620 -0.6214 4.5604
Cu 1.8804 -0.1372 4.3747
Cu 3.9838 1.9297 0.7182
Cu 3.2599 4.7572 2.2812
CELL_PARAMETERS angstrom
7.3706 -0.8175 -0.1276
-1.2805 7.5114 0.2651
-2.9024 -3.3495 5.9342
! **Calculated density**: 10093 kg/m3

## B
! Er4Cu2Pt PBE optimized geometry; values from VASP
&SYSTEM
  ibrav = 0, nat = 7, ntyp = 3
/
ATOMIC_SPECIES
Pt 195.08 Pt.upf
Er 167.26 Er.upf
Cu 63.55 Cu.upf
ATOMIC_POSITIONS angstrom
Pt 0.0000 0.0000 0.0000
Er -3.2525 -4.2563 1.8816
Er -4.9939 -7.1833 1.5754
Er -3.7367 -7.4721 -3.0730
Er -1.9952 -4.5451 -2.7667
Cu -5.2134 -8.7712 -0.9348
Cu -1.7758 -2.9572 -0.2566
CELL_PARAMETERS angstrom
-3.0955 -1.8252 -3.2468
0.8730 -4.3148 -2.0187
-4.7666 -5.5883 4.0741
! **Calculated density**: 10231 kg/m3

Stability, highest: A

## A
! ErCu2Pt PBE optimized geometry; values from VASP
&SYSTEM
  ibrav = 0, nat = 4, ntyp = 3
/
ATOMIC_SPECIES
Cu 63.55 Cu.upf
Er 167.26 Er.upf
Pt 195.08 Pt.upf
ATOMIC_POSITIONS angstrom
Cu -1.9456 1.5648 1.1897
Cu -5.8367 4.6944 3.5690
Er 0.0000 0.0000 0.0000
Pt -3.8912 3.1296 2.3793
CELL_PARAMETERS angstrom
-0.7801 3.1924 3.0980
-3.1724 3.1301 -0.7323
-3.8298 -0.0634 2.3930
! **Calculated density**: 12476 kg/m3

## B
! ErCu2Pt PBE optimized geometry; values from VASP
&SYSTEM
  ibrav = 0, nat = 4, ntyp = 3
/
ATOMIC_SPECIES
Er 167.26 Er.upf
Pt 195.08 Pt.upf
Cu 63.55 Cu.upf
ATOMIC_POSITIONS angstrom
Er -0.8921 1.3123 1.3771
Pt 1.6393 1.9071 2.4501
Cu 1.4059 1.3547 -0.3803
Cu 1.1255 -0.7600 1.4533
CELL_PARAMETERS angstrom
-1.7841 2.6246 2.7543
2.2510 -1.5200 2.9066
2.8117 2.7095 -0.7606
! **Calculated density**: 12221 kg/m3

Stability, highest: A

## A
! ErCuPtRh PBE optimized geometry; values from VASP
&SYSTEM
  ibrav = 0, nat = 4, ntyp = 4
/
ATOMIC_SPECIES
Pt 195.08 Pt.upf
Rh 102.91 Rh.upf
Cu 63.55 Cu.upf
Er 167.26 Er.upf
ATOMIC_POSITIONS angstrom
Pt 6.8365 3.9470 2.7910
Rh 2.2788 1.3157 0.9303
Cu 0.0000 0.0000 0.0000
Er 4.5576 2.6314 1.8607
CELL_PARAMETERS angstrom
4.5576 0.0000 0.0000
2.2788 3.9470 0.0000
2.2788 1.3157 3.7213
! **Calculated density**: 13117 kg/m3

## B
! ErCuPtRh PBE optimized geometry; values from VASP
&SYSTEM
  ibrav = 0, nat = 4, ntyp = 4
/
ATOMIC_SPECIES
Pt 195.08 Pt.upf
Cu 63.55 Cu.upf
Er 167.26 Er.upf
Rh 102.91 Rh.upf
ATOMIC_POSITIONS angstrom
Pt 1.9249 2.0279 0.0000
Cu 0.0000 0.0000 0.0000
Er 0.0000 2.0279 2.0964
Rh 1.9249 0.0000 2.0964
CELL_PARAMETERS angstrom
3.8498 0.0000 0.0000
0.0000 4.0558 0.0000
0.0000 0.0000 4.1928
! **Calculated density**: 13413 kg/m3

Stability, highest: B

## A
! TbErCuPt PBE optimized geometry; values from VASP
&SYSTEM
  ibrav = 0, nat = 4, ntyp = 4
/
ATOMIC_SPECIES
Pt 195.08 Pt.upf
Cu 63.55 Cu.upf
Er 167.26 Er.upf
Tb 158.93 Tb.upf
ATOMIC_POSITIONS angstrom
Pt 7.3688 4.2544 3.0083
Cu 2.4563 1.4181 1.0028
Er 4.9125 2.8363 2.0055
Tb 0.0000 0.0000 0.0000
CELL_PARAMETERS angstrom
4.9125 0.0000 0.0000
2.4563 4.2544 0.0000
2.4563 1.4181 4.0111
! **Calculated density**: 11584 kg/m3

## B
! TbErCuPt PBE optimized geometry; values from VASP
&SYSTEM
  ibrav = 0, nat = 4, ntyp = 4
/
ATOMIC_SPECIES
Pt 195.08 Pt.upf
Er 167.26 Er.upf
Cu 63.55 Cu.upf
Tb 158.93 Tb.upf
ATOMIC_POSITIONS angstrom
Pt 0.3268 -2.9904 -0.3034
Er -1.1348 -0.5965 0.6759
Cu -3.4602 -1.8190 2.0610
Tb -1.9811 -4.2037 1.0713
CELL_PARAMETERS angstrom
-0.6803 -2.1288 -3.0209
2.6391 -3.1658 1.6366
-3.7639 -1.0931 3.9550
! **Calculated density**: 11118 kg/m3

Stability, highest: B

## A
! Er2PuCu PBE optimized geometry; values from VASP
&SYSTEM
  ibrav = 0, nat = 4, ntyp = 3
/
ATOMIC_SPECIES
Pu 244.00 Pu.upf
Er 167.26 Er.upf
Cu 63.55 Cu.upf
ATOMIC_POSITIONS angstrom
Pu 1.7098 1.7098 4.2425
Er 0.0000 0.0000 6.7747
Er 0.0000 0.0000 1.7104
Cu 1.7098 1.7098 0.0000
CELL_PARAMETERS angstrom
3.4196 0.0000 0.0000
0.0000 3.4196 0.0000
0.0000 0.0000 8.4851
! **Calculated density**: 10745 kg/m3

## B
! Er2PuCu PBE optimized geometry; values from VASP
&SYSTEM
  ibrav = 0, nat = 4, ntyp = 3
/
ATOMIC_SPECIES
Cu 63.55 Cu.upf
Pu 244.00 Pu.upf
Er 167.26 Er.upf
ATOMIC_POSITIONS angstrom
Cu 5.1663 2.9828 2.1100
Pu 0.0000 0.0000 0.0000
Er 7.7495 4.4742 3.1646
Er 2.5832 1.4914 1.0554
CELL_PARAMETERS angstrom
5.1663 0.0000 0.0000
2.5832 4.4742 0.0000
2.5832 1.4914 4.2200
! **Calculated density**: 10930 kg/m3

Stability, highest: A